No. 1
## Tb2TlZn3 (PBE-GGA)

Data for a geometry-optimized Tb2TlZn3 structure.

abc: 3.710 4.585 16.060
angles: 90.00 90.00 90.00
Sites, in units of the cell vectors:
Tb (0.000, 0.000, 0.000)
Tb (0.000, 0.500, 0.280)
Tb (0.500, 0.000, 0.780)
Tb (0.500, 0.500, 0.500)
Tl (0.000, 0.000, 0.602)
Tl (0.500, 0.500, 0.102)
Zn (0.000, 0.000, 0.435)
Zn (0.000, 0.500, 0.688)
Zn (0.000, 0.500, 0.840)
Zn (0.500, 0.000, 0.188)
Zn (0.500, 0.000, 0.340)
Zn (0.500, 0.500, 0.935)

## Properties
- Fermi-level density of states: 6.26 states/eV/f.u.
- E above lowest polymorph: 0.511 eV per formula unit
- Formation energy: -0.255 eV per atom
- Final energy: -2.830 eV/atom
- Crystal system: orthorhombic

=====

No. 2
## Ca2ZrPt (PBE-GGA)

Data for a geometry-optimized Ca2ZrPt structure.

abc: 3.607 5.412 11.018
angles: 90.00 90.00 90.00
Sites, in units of the cell vectors:
Ca (0.000, 0.000, 0.000)
Ca (0.000, 0.500, 0.199)
Ca (0.500, 0.000, 0.699)
Ca (0.500, 0.500, 0.500)
Zr (0.000, 0.500, 0.806)
Zr (0.500, 0.000, 0.306)
Pt (0.000, 0.000, 0.479)
Pt (0.500, 0.500, 0.979)

## Properties
- Fermi-level density of states: 4.14 states/eV/f.u.
- E above lowest polymorph: 0.382 eV per formula unit
- Formation energy: -0.330 eV per atom
- Final energy: -4.978 eV/atom
- Crystal system: orthorhombic

=====

No. 3
## LiCa2Br (PBE-GGA)

Data for a geometry-optimized LiCa2Br structure.

abc: 12.508 3.697 6.129
angles: 90.00 116.87 90.00
Sites, in units of the cell vectors:
Li (0.000, 0.000, 0.000)
Li (0.500, 0.500, 0.000)
Ca (0.084, 0.500, 0.578)
Ca (0.282, 0.500, 0.251)
Ca (0.584, 0.000, 0.578)
Ca (0.782, 0.000, 0.251)
Br (0.310, 0.000, 0.685)
Br (0.810, 0.500, 0.685)

## Properties
- Fermi-level density of states: 2.09 states/eV/f.u.
- E above lowest polymorph: 0.407 eV per formula unit
- Final energy: -2.433 eV/atom
- Energy relative to the elements, uncorrected: -51.6 kJ per mole of atoms
- Crystal system: monoclinic

=====

No. 4
## Pu2Cu2Pt (PBE-GGA)

Data for a geometry-optimized Pu2Cu2Pt structure.

abc: 4.579 4.953 8.671
angles: 90.00 90.00 90.00
Sites, in units of the cell vectors:
Pu (0.000, 0.000, 0.191)
Pu (0.000, 0.000, 0.809)
Pu (0.500, 0.500, 0.309)
Pu (0.500, 0.500, 0.691)
Cu (0.000, 0.256, 0.500)
Cu (0.000, 0.744, 0.500)
Cu (0.500, 0.244, 0.000)
Cu (0.500, 0.756, 0.000)
Pt (0.000, 0.500, 0.000)
Pt (0.500, 0.000, 0.500)

## Properties
- Fermi-level density of states: 18.47 states/eV/f.u.
- Formation energy: -0.283 eV per atom
- Final energy: -8.862 eV/atom
- Crystal system: orthorhombic

=====

Which of these has the highest Fermi-level density of states? Pu2Cu2Pt

=====

Which of these has the highest Fermi-level density of states? Pu2Cu2Pt

=====

Number 4 is which compound? Pu2Cu2Pt

=====

The highest Fermi-level density of states belongs to which entry? Pu2Cu2Pt